(1)
The following is a DFT calculation (PBE) of a relaxed CaCdCo2 crystal.

a b c (Å): 8.3908 4.0900 5.6205
angles (deg): 90.00 118.84 90.00
Positions (direct):
1 Ca 0.0000 0.0000 0.0000
2 Ca 0.5000 0.5000 0.0000
3 Cd 0.0000 0.5000 0.5000
4 Cd 0.5000 0.0000 0.5000
5 Co 0.2109 0.0000 0.5574
6 Co 0.2891 0.5000 0.4426
7 Co 0.7109 0.5000 0.5574
8 Co 0.7891 0.0000 0.4426

Output
Electronic total energy, eV/cell: -32.7
DOS at the Fermi energy, states/eV/cell: 4.2
Energy of formation, meV/atom: 199
Total magnetic moment, μB/atom: 0.610

(2)
The following is a DFT calculation (PBE) of a relaxed LaNd2Cd3 crystal.

a b c (Å): 3.8768 3.8768 11.6991
angles (deg): 90.00 90.00 90.00
Positions (direct):
1 La 0.0000 0.0000 0.0000
2 Nd 0.0000 0.0000 0.3362
3 Nd 0.0000 0.0000 0.6638
4 Cd 0.5000 0.5000 0.1742
5 Cd 0.5000 0.5000 0.5000
6 Cd 0.5000 0.5000 0.8258

Output
Electronic total energy, eV/cell: -19.1
DOS at the Fermi energy, states/eV/cell: 7.8
Energy of formation, meV/atom: -320
Total magnetic moment, μB/atom: 0.186

(3)
The following is a DFT calculation (PBE) of a relaxed Er2Ni3Ge5 crystal.

a b c (Å): 8.1045 8.1045 8.1045
angles (deg): 105.87 89.37 137.52
Positions (direct):
1 Er 0.1367 0.2322 0.3689
2 Er 0.3633 0.7322 0.0954
3 Er 0.6367 0.2678 0.9046
4 Er 0.8633 0.7678 0.6311
5 Ni 0.1388 0.8914 0.0302
6 Ni 0.2500 0.7500 0.5000
7 Ni 0.3612 0.3914 0.7526
8 Ni 0.6388 0.6086 0.2474
9 Ni 0.7500 0.2500 0.5000
10 Ni 0.8612 0.1086 0.9698
11 Ge 0.0220 0.7500 0.2720
12 Ge 0.0970 0.6619 0.7589
13 Ge 0.2500 0.2500 0.0000
14 Ge 0.4030 0.1619 0.5649
15 Ge 0.4780 0.7500 0.7280
16 Ge 0.5220 0.2500 0.2720
17 Ge 0.5970 0.8381 0.4351
18 Ge 0.7500 0.7500 0.0000
19 Ge 0.9030 0.3381 0.2411
20 Ge 0.9780 0.2500 0.7280

Output
Electronic total energy, eV/cell: -111.4
DOS at the Fermi energy, states/eV/cell: 6.1
Energy of formation, meV/atom: -613
Energy above the most stable polymorph in this dataset, eV per atom: 0.000
Total magnetic moment, μB/atom: 0.000

(4)
The following is a DFT calculation (PBE) of a relaxed Hf6PN2 crystal.

a b c (Å): 5.7169 5.7169 7.6548
angles (deg): 112.28 112.28 43.95
Positions (direct):
1 Hf 0.0157 0.0157 0.1961
2 Hf 0.3140 0.3140 0.9229
3 Hf 0.3354 0.3354 0.4101
4 Hf 0.6646 0.6646 0.5899
5 Hf 0.6860 0.6860 0.0771
6 Hf 0.9843 0.9843 0.8039
7 P 0.0000 0.0000 0.5000
8 N 0.1775 0.1775 0.0834
9 N 0.8225 0.8225 0.9166

Output
Electronic total energy, eV/cell: -89.9
DOS at the Fermi energy, states/eV/cell: 4.6
ΔE_f (raw), meV/atom: -904
Total magnetic moment, μB/atom: 0.000

(5)
The following is a DFT calculation (PBE) of a relaxed TeAs2Pb crystal.

a b c (Å): 3.6884 5.0430 5.3819
angles (deg): 90.00 90.00 90.00
Positions (direct):
1 Te 0.0000 0.0000 0.0000
2 As 0.0000 0.5000 0.5000
3 As 0.5000 0.5000 0.0000
4 Pb 0.5000 0.0000 0.5000

Output
Electronic total energy, eV/cell: -14.8
DOS at the Fermi energy, states/eV/cell: 3.6
Energy above the most stable polymorph in this dataset, eV per atom: 0.389
ΔE_f (raw), meV/atom: 331
Total magnetic moment, μB/atom: 0.000

(6)
The following is a DFT calculation (PBE) of a relaxed LiPa2AsN5 crystal.

a b c (Å): 6.9282 6.9282 9.4508
angles (deg): 90.00 90.00 150.83
Positions (direct):
1 Li 0.2134 0.7866 0.5000
2 Li 0.7866 0.2134 0.0000
3 Pa 0.1264 0.8736 0.1839
4 Pa 0.1375 0.8625 0.8027
5 Pa 0.8625 0.1375 0.3027
6 Pa 0.8736 0.1264 0.6839
7 As 0.4392 0.5608 0.9681
8 As 0.5608 0.4392 0.4681
9 N 0.0513 0.9487 0.5574
10 N 0.2944 0.7056 0.1955
11 N 0.3182 0.6818 0.8601
12 N 0.3598 0.6402 0.5306
13 N 0.4911 0.5089 0.2973
14 N 0.5089 0.4911 0.7973
15 N 0.6402 0.3598 0.0306
16 N 0.6818 0.3182 0.3601
17 N 0.7056 0.2944 0.6955
18 N 0.9487 0.0513 0.0574

Output
Electronic total energy, eV/cell: -149.6
DOS at the Fermi energy, states/eV/cell: 3.8
ΔE_f (raw), meV/atom: -844
Total magnetic moment, μB/atom: 0.000

(7)
The following is a DFT calculation (PBE) of a relaxed NbPb crystal.

a b c (Å): 10.5796 10.5796 3.4723
angles (deg): 90.00 90.00 90.00
Positions (direct):
1 Nb 0.0017 0.3540 0.0000
2 Nb 0.1463 0.4935 0.5000
3 Nb 0.3540 0.9983 0.0000
4 Nb 0.4935 0.8537 0.5000
5 Nb 0.5065 0.1463 0.5000
6 Nb 0.6460 0.0017 0.0000
7 Nb 0.8537 0.5065 0.5000
8 Nb 0.9983 0.6460 0.0000
9 Pb 0.1567 0.8421 0.5000
10 Pb 0.1579 0.1567 0.5000
11 Pb 0.3389 0.6531 0.0000
12 Pb 0.3469 0.3389 0.0000
13 Pb 0.6531 0.6611 0.0000
14 Pb 0.6611 0.3469 0.0000
15 Pb 0.8421 0.8433 0.5000
16 Pb 0.8433 0.1579 0.5000

Output
Electronic total energy, eV/cell: -106.3
DOS at the Fermi energy, states/eV/cell: 11.3
Energy of formation, meV/atom: 245
Energy above the most stable polymorph in this dataset, eV per atom: 0.000
Total magnetic moment, μB/atom: 0.000

(8)
The following is a DFT calculation (PBE) of a relaxed Cs2U3TlS8 crystal.

a b c (Å): 9.6589 9.6589 9.6589
angles (deg): 49.95 49.95 49.95
Positions (direct):
1 Cs 0.0000 0.0000 0.0000
2 Cs 0.3604 0.3604 0.3604
3 U 0.4984 0.9993 0.9993
4 U 0.9993 0.4984 0.9993
5 U 0.9993 0.9993 0.4984
6 Tl 0.6110 0.6110 0.6110
7 S 0.1931 0.7366 0.7366
8 S 0.2218 0.2218 0.2218
9 S 0.2610 0.2610 0.8109
10 S 0.2610 0.8109 0.2610
11 S 0.7366 0.1931 0.7366
12 S 0.7366 0.7366 0.1931
13 S 0.7773 0.7773 0.7773
14 S 0.8109 0.2610 0.2610

Output
Electronic total energy, eV/cell: -88.7
DOS at the Fermi energy, states/eV/cell: 15.1
ΔE_f (raw), meV/atom: -1267
Total magnetic moment, μB/atom: 0.357

(9)
The following is a DFT calculation (PBE) of a relaxed La2Sn4PdPt3 crystal.

a b c (Å): 4.6517 4.6517 10.6766
angles (deg): 90.00 90.00 90.00
Positions (direct):
1 La 0.0000 0.5000 0.2422
2 La 0.5000 0.0000 0.7578
3 Sn 0.0000 0.0000 0.5000
4 Sn 0.0000 0.5000 0.8739
5 Sn 0.5000 0.0000 0.1261
6 Sn 0.5000 0.5000 0.5000
7 Pd 0.5000 0.5000 0.0000
8 Pt 0.0000 0.0000 0.0000
9 Pt 0.0000 0.5000 0.6287
10 Pt 0.5000 0.0000 0.3713

Output
Electronic total energy, eV/cell: -58.2
DOS at the Fermi energy, states/eV/cell: 5.3
Energy of formation, meV/atom: -901
Total magnetic moment, μB/atom: 0.000

(10)
The following is a DFT calculation (PBE) of a relaxed La3ErIn2 crystal.

a b c (Å): 9.8080 9.8080 9.8080
angles (deg): 139.09 59.04 139.34
Positions (direct):
1 La 0.1766 0.2487 0.4253
2 La 0.2500 0.2500 0.0000
3 La 0.3234 0.7487 0.0722
4 La 0.6766 0.2513 0.9278
5 La 0.7500 0.7500 0.0000
6 La 0.8234 0.7513 0.5747
7 Er 0.2500 0.7500 0.5000
8 Er 0.7500 0.2500 0.5000
9 In 0.1311 0.7375 0.8686
10 In 0.3689 0.2374 0.6063
11 In 0.6311 0.7625 0.3937
12 In 0.8689 0.2626 0.1314

Output
Electronic total energy, eV/cell: -53.4
DOS at the Fermi energy, states/eV/cell: 15.9
Energy of formation, meV/atom: -309
Energy above the most stable polymorph in this dataset, eV per atom: 0.049
Total magnetic moment, μB/atom: 0.178

(11)
The following is a DFT calculation (PBE) of a relaxed Pm2TaC3 crystal.

a b c (Å): 6.0799 6.0799 5.7808
angles (deg): 90.00 90.00 66.02
Positions (direct):
1 Pm 0.0064 0.3232 0.0000
2 Pm 0.3232 0.0064 0.5000
3 Pm 0.6768 0.9936 0.0000
4 Pm 0.9936 0.6768 0.5000
5 Ta 0.3985 0.6015 0.0429
6 Ta 0.6015 0.3985 0.5429
7 C 0.1088 0.8912 0.1450
8 C 0.3320 0.3691 0.7655
9 C 0.3691 0.3320 0.2655
10 C 0.6309 0.6680 0.7655
11 C 0.6680 0.6309 0.2655
12 C 0.8912 0.1088 0.6450

Output
Electronic total energy, eV/cell: -99.2
DOS at the Fermi energy, states/eV/cell: 4.6
Energy of formation, meV/atom: -96
Total magnetic moment, μB/atom: 0.000

(12)
The following is a DFT calculation (PBE) of a relaxed ThVS crystal.

a b c (Å): 9.9526 3.4621 8.7704
angles (deg): 90.00 117.32 90.00
Positions (direct):
1 Th 0.1786 0.0000 0.1966
2 Th 0.3214 0.5000 0.8034
3 Th 0.6786 0.5000 0.1966
4 Th 0.8214 0.0000 0.8034
5 V 0.0544 0.5000 0.4348
6 V 0.4456 0.0000 0.5652
7 V 0.5544 0.0000 0.4348
8 V 0.9456 0.5000 0.5652
9 S 0.0798 0.5000 0.8857
10 S 0.4202 0.0000 0.1143
11 S 0.5798 0.0000 0.8857
12 S 0.9202 0.5000 0.1143

Output
Electronic total energy, eV/cell: -87.6
DOS at the Fermi energy, states/eV/cell: 13.6
ΔE_f (raw), meV/atom: -411
Total magnetic moment, μB/atom: 0.000